A plane-wave DFT calculation with PBE was carried out for Ca4I3N2 after structural relaxation.

Computed properties:
SG: C2/m (12)
uncorrected formation energy: -1042 meV/atom

Unit cell a=7.6307 b=7.6307 c=9.1177 alpha=106.34 beta=106.34 gamma=28.42
Last column: nearest neighbours and their distance in Å.
Sites, in units of the cell vectors:
Ca1 0.0963 0.0963 0.2157  2 N 2.46
Ca2 0.3118 0.3118 0.4028  3 N 2.37-2.48
Ca3 0.6882 0.6882 0.5972  3 N 2.37-2.48
Ca4 0.9037 0.9037 0.7843  2 N 2.46
I1 0.0000 0.0000 0.5000  6 Ca 3.26-3.30
I2 0.3955 0.3955 0.0872  5 Ca 3.37-3.45, 2 I 3.75, 1 N 3.75
I3 0.6045 0.6045 0.9128  5 Ca 3.37-3.45, 2 I 3.75, 1 N 3.75
N1 0.3033 0.3033 0.6581  5 Ca 2.37-2.48
N2 0.6967 0.6967 0.3419  5 Ca 2.37-2.48